(1)
A plane-wave DFT calculation with PBE was carried out for crystalline GaAgC at its relaxed geometry.

**Space-group type**: P2/m (10)

Lattice parameters (Å, degrees): 5.218 3.229 5.970 90.00 101.02 90.00
Atoms (fractional coordinates):
1 Ga 0.089 0.000 0.209
2 Ga 0.911 0.000 0.791
3 Ag 0.500 0.000 0.000
4 Ag 0.500 0.500 0.500
5 C 0.043 0.500 0.401
6 C 0.957 0.500 0.599


(2)
A plane-wave DFT calculation with PBE was carried out for crystalline GaAgC at its relaxed geometry.

**Space-group type**: P4/nmm (129)

Lattice parameters (Å, degrees): 3.787 3.787 7.078 90.00 90.00 90.00
Atoms (fractional coordinates):
1 Ga 0.250 0.750 0.000
2 Ga 0.750 0.250 0.000
3 Ag 0.250 0.250 0.430
4 Ag 0.750 0.750 0.570
5 C 0.250 0.250 0.130
6 C 0.750 0.750 0.870


(3)
A plane-wave DFT calculation with PBE was carried out for crystalline GaAgC at its relaxed geometry.

**Space-group type**: P1 (1)

Lattice parameters (Å, degrees): 4.203 4.494 5.657 106.34 111.60 90.33
Atoms (fractional coordinates):
1 Ga 0.000 0.000 0.000
2 Ga 0.274 0.879 0.553
3 Ag 0.470 0.428 0.949
4 Ag 0.796 0.451 0.603
5 C 0.480 0.939 0.277
6 C 0.794 0.940 0.276


(4)
A plane-wave DFT calculation with PBE was carried out for crystalline GaAgC at its relaxed geometry.

**Space-group type**: P1 (1)

Lattice parameters (Å, degrees): 4.676 4.744 5.982 90.24 101.18 119.06
Atoms (fractional coordinates):
1 Ga 0.000 0.000 0.000
2 Ga 0.249 0.526 0.713
3 Ag 0.389 0.713 0.153
4 Ag 0.675 0.349 0.010
5 C 0.566 0.846 0.522
6 C 0.846 0.073 0.647


(5)
A plane-wave DFT calculation with PBE was carried out for crystalline GaAgC at its relaxed geometry.

**Space-group type**: P-1 (2)

Lattice parameters (Å, degrees): 3.148 5.884 5.985 64.07 89.91 74.53
Atoms (fractional coordinates):
1 Ga 0.167 0.170 0.316
2 Ga 0.833 0.830 0.684
3 Ag 0.380 0.738 0.083
4 Ag 0.620 0.262 0.917
5 C 0.018 0.465 0.413
6 C 0.982 0.535 0.587


(6)
A plane-wave DFT calculation with PBE was carried out for crystalline GaAgC at its relaxed geometry.

**Space-group type**: P1 (1)

Lattice parameters (Å, degrees): 4.471 4.701 6.325 69.59 84.91 63.65
Atoms (fractional coordinates):
1 Ga 0.000 0.000 0.000
2 Ga 0.339 0.361 0.866
3 Ag 0.618 0.188 0.401
4 Ag 0.670 0.683 0.930
5 C 0.077 0.792 0.344
6 C 0.243 0.574 0.528


(7)
A plane-wave DFT calculation with PBE was carried out for crystalline Ga2AgC at its relaxed geometry.

**Space-group type**: I-42d (122)

Lattice parameters (Å, degrees): 5.851 5.851 5.851 121.23 121.23 87.89
Atoms (fractional coordinates):
1 Ga 0.027 0.625 0.902
2 Ga 0.375 0.277 0.402
3 Ga 0.723 0.125 0.098
4 Ga 0.875 0.973 0.598
5 Ag 0.250 0.750 0.500
6 Ag 0.500 0.500 0.000
7 C 0.000 0.000 0.000
8 C 0.750 0.250 0.500


(8)
A plane-wave DFT calculation with PBE was carried out for crystalline GaAgC at its relaxed geometry.

**Space-group type**: P1 (1)

Lattice parameters (Å, degrees): 3.196 3.904 8.624 102.79 100.61 90.00
Atoms (fractional coordinates):
1 Ga 0.000 0.000 0.000
2 Ga 0.229 0.240 0.462
3 Ag 0.017 0.833 0.655
4 Ag 0.593 0.408 0.808
5 C 0.570 0.079 0.153
6 C 0.647 0.162 0.310


Number 1: electronic total energy -4.488 eV/atom, formation energy from the elements 545.8 meV per atom. Number 2: electronic total energy -4.109 eV/atom, formation energy from the elements 925.0 meV per atom. Number 3: electronic total energy -4.426 eV/atom, formation energy from the elements 608.5 meV per atom. Number 4: electronic total energy -4.391 eV/atom, formation energy from the elements 643.1 meV per atom. Number 5: electronic total energy -4.442 eV/atom, formation energy from the elements 592.0 meV per atom. Number 6: electronic total energy -4.450 eV/atom, formation energy from the elements 584.4 meV per atom. Number 7: electronic total energy -4.016 eV/atom, formation energy from the elements 516.0 meV per atom. Number 8: electronic total energy -4.544 eV/atom, formation energy from the elements 489.7 meV per atom.